one) The following is a PBE calculation of a relaxed structure of RbBa2NaCd, from Alexandria.

Cell lengths 6.8504, 6.8504, 6.2974 Å; angles 90.00, 90.00, 90.00 degrees
Last column: nearest neighbours and their distance in Å.
Space group P4/mmm (No. 123)
Inequivalent atoms, fractional coordinates:
Rb  0.0000  0.0000  0.0000 [1 per cell]  8 Ba 4.65, 4 Na 4.84
Ba  0.0000  0.5000  0.5000 [2 per cell]  2 Cd 3.43
Na  0.5000  0.5000  0.0000 [1 per cell]  2 Cd 3.15
Cd  0.5000  0.5000  0.5000 [1 per cell]  2 Na 3.15, 4 Ba 3.43

Values from the calculation:
For the density of states at the Fermi level, the calculation gives 5.02 states/eV/cell. As for the magnetization: 0.00 μB per formula unit.

***

two) The following is a PBE calculation of a relaxed structure of RbBa2NaCd, from Alexandria.

Cell lengths 6.7569, 6.7569, 7.0134 Å; angles 90.00, 90.00, 90.00 degrees
Last column: nearest neighbours and their distance in Å.
Space group P4/mmm (No. 123)
Inequivalent atoms, fractional coordinates:
Rb  0.0000  0.0000  0.0000 [1 per cell]  2 Cd 3.51
Ba  0.0000  0.5000  0.5000 [2 per cell]  2 Cd 3.38
Na  0.5000  0.5000  0.0000 [1 per cell]  4 Rb 4.78, 8 Ba 4.87
Cd  0.0000  0.0000  0.5000 [1 per cell]  4 Ba 3.38, 2 Rb 3.51

Values from the calculation:
For the density of states at the Fermi level, the calculation gives 4.59 states/eV/cell. As for the magnetization: 0.00 μB per formula unit.

***

Quick one: most stable of them? one)

***

one) The following is a PBE calculation of a relaxed structure of BaNaSr2Cd, from Alexandria.

Cell lengths 6.4589, 6.4589, 6.6391 Å; angles 90.00, 90.00, 90.00 degrees
Last column: nearest neighbours and their distance in Å.
Space group P4/mmm (No. 123)
Inequivalent atoms, fractional coordinates:
Ba  0.0000  0.0000  0.0000 [1 per cell]  2 Cd 3.32
Na  0.5000  0.5000  0.0000 [1 per cell]  4 Ba 4.57, 8 Sr 4.63
Sr  0.0000  0.5000  0.5000 [2 per cell]  2 Cd 3.23
Cd  0.0000  0.0000  0.5000 [1 per cell]  4 Sr 3.23, 2 Ba 3.32

Values from the calculation:
For the density of states at the Fermi level, the calculation gives 4.32 states/eV/cell. As for the magnetization: 0.00 μB per formula unit.

***

two) The following is a PBE calculation of a relaxed structure of BaNaSr2Cd, from Alexandria.

Cell lengths 7.0845, 7.0845, 6.1701 Å; angles 90.00, 90.00, 90.00 degrees
Last column: nearest neighbours and their distance in Å.
Space group P4/mmm (No. 123)
Inequivalent atoms, fractional coordinates:
Ba  0.0000  0.0000  0.0000 [1 per cell]  2 Cd 3.09
Na  0.5000  0.5000  0.5000 [1 per cell]  8 Sr 4.70, 4 Cd 5.01
Sr  0.0000  0.5000  0.0000 [2 per cell]  2 Ba 3.54
Cd  0.0000  0.0000  0.5000 [1 per cell]  2 Ba 3.09

Values from the calculation:
For the density of states at the Fermi level, the calculation gives 4.89 states/eV/cell. As for the magnetization: 1.20 μB per formula unit.

***

three) The following is a PBE calculation of a relaxed structure of BaNaSr2Cd, from Alexandria.

Cell lengths 6.4876, 6.4876, 6.0014 Å; angles 90.00, 90.00, 90.00 degrees
Last column: nearest neighbours and their distance in Å.
Space group P4/mmm (No. 123)
Inequivalent atoms, fractional coordinates:
Ba  0.0000  0.0000  0.0000 [1 per cell]  8 Sr 4.42, 4 Na 4.59
Na  0.5000  0.5000  0.0000 [1 per cell]  2 Cd 3.00
Sr  0.0000  0.5000  0.5000 [2 per cell]  2 Cd 3.24
Cd  0.5000  0.5000  0.5000 [1 per cell]  2 Na 3.00, 4 Sr 3.24

Values from the calculation:
For the density of states at the Fermi level, the calculation gives 5.26 states/eV/cell. As for the magnetization: 0.00 μB per formula unit.

***

Quick one: most stable of them? one)

***

one) The following is a PBE calculation of a relaxed structure of BaNaTl2Cd, from Alexandria.

Cell lengths 6.5041, 6.5041, 6.4807 Å; angles 90.00, 90.00, 90.00 degrees
Last column: nearest neighbours and their distance in Å.
Space group P4/mmm (No. 123)
Inequivalent atoms, fractional coordinates:
Ba  0.0000  0.0000  0.0000 [1 per cell]  2 Cd 3.24, 4 Tl 3.25
Na  0.5000  0.5000  0.5000 [1 per cell]  8 Tl 4.59, 4 Cd 4.60
Tl  0.0000  0.5000  0.0000 [2 per cell]  2 Ba 3.25
Cd  0.0000  0.0000  0.5000 [1 per cell]  2 Ba 3.24

Values from the calculation:
For the density of states at the Fermi level, the calculation gives 6.00 states/eV/cell. As for the magnetization: 0.00 μB per formula unit.

***

two) The following is a PBE calculation of a relaxed structure of BaNaTl2Cd, from Alexandria.

Cell lengths 4.9475, 4.9475, 13.5894 Å; angles 90.00, 90.00, 90.00 degrees
Last column: nearest neighbours and their distance in Å.
Space group I-4m2 (No. 119)
Inequivalent atoms, fractional coordinates:
Ba  0.0000  0.0000  0.0000 [2 per cell]  8 Tl 3.82, 4 Cd 4.20, 4 Na 4.20
Na  0.0000  0.5000  0.2500 [2 per cell]  4 Tl 3.10
Tl  0.0000  0.0000  0.3871 [4 per cell]  1 Tl 3.07, 2 Cd 3.10, 2 Na 3.10
Cd  0.0000  0.5000  0.7500 [2 per cell]  4 Tl 3.10

Values from the calculation:
For the density of states at the Fermi level, the calculation gives 8.11 states/eV/cell. As for the magnetization: 0.00 μB per formula unit.

***

Quick one: most stable of them? two)

***

one) The following is a PBE calculation of a relaxed structure of BaNbCd3, from Alexandria.

Cell lengths 6.0166, 6.0166, 6.0166 Å; angles 90.00, 90.00, 90.00 degrees
Last column: nearest neighbours and their distance in Å.
Space group Pm-3m (No. 221)
Inequivalent atoms, fractional coordinates:
Ba  0.0000  0.0000  0.0000 [1 per cell]  6 Cd 3.01
Nb  0.5000  0.5000  0.5000 [1 per cell]  12 Cd 4.25
Cd  0.0000  0.0000  0.5000 [3 per cell]  2 Ba 3.01

Values from the calculation:
For the density of states at the Fermi level, the calculation gives 9.32 states/eV/cell. As for the magnetization: 0.39 μB per formula unit.

***

two) The following is a PBE calculation of a relaxed structure of BaNbCd3, from Alexandria.

Cell lengths 5.5251, 5.5251, 5.5251 Å; angles 90.00, 90.00, 90.00 degrees
Last column: nearest neighbours and their distance in Å.
Space group Pm-3m (No. 221)
Inequivalent atoms, fractional coordinates:
Ba  0.0000  0.0000  0.0000 [1 per cell]  12 Cd 3.91
Nb  0.5000  0.5000  0.5000 [1 per cell]  6 Cd 2.76
Cd  0.0000  0.5000  0.5000 [3 per cell]  2 Nb 2.76

Values from the calculation:
For the density of states at the Fermi level, the calculation gives 4.81 states/eV/cell. As for the magnetization: 2.75 μB per formula unit.

***

Quick one: most stable of them? two)

***

one) The following is a PBE calculation of a relaxed structure of BaNbCd2, from Alexandria.

Cell lengths 7.6717, 7.6717, 7.6717 Å; angles 90.00, 90.00, 90.00 degrees
Last column: nearest neighbours and their distance in Å.
Space group Fm-3m (No. 225)
Inequivalent atoms, fractional coordinates:
Ba  0.0000  0.0000  0.0000 [4 per cell]  8 Cd 3.32
Nb  0.0000  0.0000  0.5000 [4 per cell]  8 Cd 3.32
Cd  0.2500  0.2500  0.2500 [8 per cell]  4 Ba 3.32, 4 Nb 3.32

Values from the calculation:
For the density of states at the Fermi level, the calculation gives 8.61 states/eV/cell. As for the magnetization: 2.69 μB per formula unit.

***

two) The following is a PBE calculation of a relaxed structure of BaNbCd2, from Alexandria.

Cell lengths 5.3015, 5.3015, 20.5301 Å; angles 90.00, 90.00, 90.00 degrees
Last column: nearest neighbours and their distance in Å.
Space group I-42d (No. 122)
Inequivalent atoms, fractional coordinates:
Ba  0.0000  0.0000  0.0000 [4 per cell]  4 Cd 3.64, 4 Nb 3.75
Nb  0.0000  0.0000  0.5000 [4 per cell]  4 Cd 2.92
Cd  0.0826  0.2500  0.6250 [8 per cell]  2 Cd 2.79, 2 Nb 2.92

Values from the calculation:
For the density of states at the Fermi level, the calculation gives 13.02 states/eV/cell. As for the magnetization: 3.43 μB per formula unit.

***

Quick one: most stable of them? one)

***

one) The following is a PBE calculation of a relaxed structure of BaNb3Cd, from Alexandria.

Cell lengths 5.0785, 5.0785, 5.0785 Å; angles 90.00, 90.00, 90.00 degrees
Last column: nearest neighbours and their distance in Å.
Space group Pm-3m (No. 221)
Inequivalent atoms, fractional coordinates:
Ba  0.0000  0.0000  0.0000 [1 per cell]  6 Nb 2.54
Nb  0.0000  0.0000  0.5000 [3 per cell]  2 Ba 2.54
Cd  0.5000  0.5000  0.5000 [1 per cell]  12 Nb 3.59

Values from the calculation:
For the density of states at the Fermi level, the calculation gives 6.30 states/eV/cell. As for the magnetization: 0.00 μB per formula unit.

***

two) The following is a PBE calculation of a relaxed structure of BaNb3Cd, from Alexandria.

Cell lengths 5.2584, 5.2584, 5.2584 Å; angles 90.00, 90.00, 90.00 degrees
Last column: nearest neighbours and their distance in Å.
Space group Pm-3m (No. 221)
Inequivalent atoms, fractional coordinates:
Ba  0.0000  0.0000  0.0000 [1 per cell]  12 Nb 3.72
Nb  0.0000  0.5000  0.5000 [3 per cell]  2 Cd 2.63
Cd  0.5000  0.5000  0.5000 [1 per cell]  6 Nb 2.63

Values from the calculation:
For the density of states at the Fermi level, the calculation gives 7.14 states/eV/cell. As for the magnetization: 4.04 μB per formula unit.

***

Quick one: most stable of them? two)